Compound: YMnS2N
Source: Alexandria
Functional: PBE
Structure: relaxed

Calculated values
**DOS at the Fermi energy**: 1.82 states/eV per cell
**Total magnetic moment**: 0.599 μB/atom
**Final energy**: -6.193 eV per atom
**Formation energy without anion corrections**: 0.249 eV per atom
**Crystal system**: tetragonal
**Excess energy over the best structure of this formula in the dataset**: 1027.6 meV/atom

abc: 5.2588 5.2588 4.3597
angles: 90.00 90.00 90.00
Last column: magnetic moment on the atom in μB.
Element x y z (fractional)
Y (0.0000, 0.0000, 0.0000)  -0.03
S (0.0000, 0.5000, 0.0000)  -0.11
S (0.5000, 0.0000, 0.0000)  -0.11
Mn (0.5000, 0.5000, 0.5000)  4.55
N (0.0000, 0.0000, 0.5000)  -1.10